Compound: Mg2ScSn
Source: Alexandria via LeMat-Bulk
Functional: PBE-GGA
Structure: relaxed

Summary:
energy relative to the elements	-36	kJ per mole of atoms
volume	21.87	Å³/atom
E	-15.03	eV for the cell shown

a = 4.5890 Å, b = 4.3656 Å, c = 4.3656 Å
α = 90.00°, β = 90.00°, γ = 90.00°
Closest atoms and distances in Å follow each position.
Fractional positions:
Sc 0.5000 0.5000 0.5000  4 Sn 3.09, 8 Mg 3.17
Mg 0.0000 0.5000 0.0000  4 Mg 3.09, 4 Sn 3.17, 4 Sc 3.17
Mg 0.0000 0.0000 0.5000  4 Mg 3.09, 4 Sn 3.17, 4 Sc 3.17
Sn 0.5000 0.0000 0.0000  4 Sc 3.09, 8 Mg 3.17

Compound: ReSnIrS2
Source: Alexandria via LeMat-Bulk
Functional: PBE-GGA
Structure: relaxed

Summary:
formation energy without anion corrections	519	meV/atom
volume	20.84	Å³/atom
E	-30.97	eV for the cell shown

a = 4.5591 Å, b = 5.0137 Å, c = 4.5591 Å
α = 90.00°, β = 90.00°, γ = 90.00°
Closest atoms and distances in Å follow each position.
Fractional positions:
Re 0.0000 0.0000 0.0000  4 S 2.28, 2 Ir 2.51
S 0.5000 0.0000 0.0000  2 Re 2.28
S 0.0000 0.0000 0.5000  2 Re 2.28
Ir 0.0000 0.5000 0.0000  2 Re 2.51
Sn 0.5000 0.5000 0.5000  4 Ir 3.22, 8 S 3.39

Compound: Cr4FeNi
Source: Alexandria via LeMat-Bulk
Functional: PBE-GGA
Structure: relaxed

Summary:
energy relative to the elements	25	kJ per mole of atoms
volume	11.76	Å³/atom
E	-51.18	eV for the cell shown

a = 4.6381 Å, b = 4.6381 Å, c = 4.6381 Å
α = 60.00°, β = 60.00°, γ = 60.00°
Closest atoms and distances in Å follow each position.
Fractional positions:
Cr 0.3746 0.8761 0.3746  6 Cr 2.31-2.33
Cr 0.3746 0.3746 0.3746  6 Cr 2.31-2.33
Cr 0.8761 0.3746 0.3746  6 Cr 2.31-2.33
Cr 0.3746 0.3746 0.8761  6 Cr 2.31-2.33
Ni 0.0000 0.0000 0.0000  12 Cr 2.72, 4 Fe 2.84
Fe 0.7500 0.7500 0.7500  12 Cr 2.72, 4 Ni 2.84

Compound: CsFe3Br
Source: Alexandria via LeMat-Bulk
Functional: PBE-GGA
Structure: relaxed

Summary:
formation energy without anion corrections	2402	meV/atom
volume	25.22	Å³/atom
E	-15.91	eV for the cell shown

a = 5.0146 Å, b = 5.0146 Å, c = 5.0146 Å
α = 90.00°, β = 90.00°, γ = 90.00°
Closest atoms and distances in Å follow each position.
Fractional positions:
Cs 0.0000 0.0000 0.0000  6 Fe 2.51
Br 0.5000 0.5000 0.5000  12 Fe 3.55
Fe 0.0000 0.0000 0.5000  2 Cs 2.51
Fe 0.5000 0.0000 0.0000  2 Cs 2.51
Fe 0.0000 0.5000 0.0000  2 Cs 2.51

Compound: Ti2GeRh
Source: Alexandria via LeMat-Bulk
Functional: PBE-GGA
Structure: relaxed

Summary:
energy relative to the elements	-61	kJ per mole of atoms
volume	15.14	Å³/atom
E	-30.31	eV for the cell shown

a = 3.9306 Å, b = 3.9257 Å, c = 3.9257 Å
α = 90.00°, β = 90.00°, γ = 90.00°
Closest atoms and distances in Å follow each position.
Fractional positions:
Ge 0.5000 0.0000 0.0000  4 Rh 2.78, 8 Ti 2.78
Ti 0.0000 0.5000 0.0000  4 Ti 2.78, 4 Ge 2.78, 4 Rh 2.78
Ti 0.0000 0.0000 0.5000  4 Ti 2.78, 4 Ge 2.78, 4 Rh 2.78
Rh 0.5000 0.5000 0.5000  4 Ge 2.78, 8 Ti 2.78

Compound: AlAs2W
Source: Alexandria via LeMat-Bulk
Functional: PBE-GGA
Structure: relaxed

Summary:
energy relative to the elements	16	kJ per mole of atoms
volume	18.50	Å³/atom
E	-25.32	eV for the cell shown

a = 9.2606 Å, b = 9.2606 Å, c = 9.2606 Å
α = 19.06°, β = 19.06°, γ = 19.06°
Closest atoms and distances in Å follow each position.
Fractional positions:
As 0.9872 0.9872 0.9872  3 W 2.62
As 0.5128 0.5128 0.5128  3 W 2.62
Al 0.7500 0.7500 0.7500  6 Al 3.07, 6 As 3.16
W 0.2500 0.2500 0.2500  6 As 2.62

Compound: ZrFeOs2
Source: Alexandria via LeMat-Bulk
Functional: PBE-GGA
Structure: relaxed

Summary:
energy relative to the elements	9	kJ per mole of atoms
volume	15.13	Å³/atom
E	-39.12	eV for the cell shown

a = 4.9378 Å, b = 4.9378 Å, c = 4.6098 Å
α = 76.57°, β = 76.57°, γ = 33.72°
Closest atoms and distances in Å follow each position.
Fractional positions:
Os 0.5237 0.5237 0.4694  2 Fe 2.57, 4 Os 2.60-2.86, 1 Zr 2.76
Os 0.9763 0.9763 0.0306  2 Fe 2.57, 4 Os 2.60-2.86, 1 Zr 2.76
Fe 0.2500 0.2500 0.2500  4 Os 2.57, 4 Zr 2.71, 2 Fe 2.86
Zr 0.7500 0.7500 0.7500  4 Fe 2.71, 6 Os 2.76-2.96, 2 Zr 2.86